Record 1
Lu4Zr2Fe3C3 PBE optimized geometry; total DFT energy (no corrections) = -88.39 eV per formula unit; total magnetization = 9.42 Bohr magnetons per cell
1.0
-1.5504 4.3116 -3.5326
-5.3298 2.2268 0.3298
6.7487 7.4257 10.6118
Fe C Zr Lu
6 6 4 8
Cartesian
-3.3951 4.2197 2.7298
0.5464 10.7934 4.9376
3.2635 9.7444 4.6792
-4.0665 6.3973 0.8974
-0.6779 3.1707 2.4714
3.9350 7.5668 6.5116
1.3191 6.9577 3.0632
-3.0991 4.2456 -2.7239
-0.7752 2.1558 -1.7663
-1.4506 7.0064 4.3457
0.7094 4.8262 5.4708
2.9676 9.7185 10.1329
-2.1169 3.7936 -0.7517
1.9854 10.1705 8.1606
-0.7554 6.8072 2.2072
0.6239 7.1569 5.2017
4.2960 7.9809 9.2485
2.9222 4.9824 6.2447
-3.0537 8.9817 1.1643
-1.6944 9.3423 4.1218
-0.2849 12.3605 7.0891
1.5629 4.6218 3.2872
0.1534 1.6036 0.3199
-4.4275 5.9832 -1.8395

Record 2
CoAgHgBi PBE optimized geometry; total DFT energy (no corrections) = -12.51 eV per formula unit; total magnetization = 0.89 Bohr magnetons per cell
1.0
0.0000 3.4082 3.4082
3.4082 0.0000 3.4082
3.4082 3.4082 0.0000
Ag Hg Bi Co
1 1 1 1
Cartesian
1.7041 1.7041 1.7041
3.4082 3.4082 3.4082
0.0000 0.0000 0.0000
5.1123 5.1123 5.1123

Record 3
NbHg3S4 PBE optimized geometry; total DFT energy (no corrections) = -28.23 eV per formula unit; total magnetization = 0.86 Bohr magnetons per cell
1.0
1.2632 -6.2166 0.0357
-6.2620 0.8826 -0.5023
2.9214 2.7232 -4.9288
Hg S Nb
3 4 1
Cartesian
2.0923 -1.7467 -2.4466
-1.6703 1.8029 -2.7156
-2.4994 -2.6670 -0.2333
1.0656 0.9933 -1.7978
0.4607 -2.2676 0.0130
-2.2841 0.3219 -0.1832
-1.3197 -1.6586 -3.4274
0.0000 0.0000 0.0000

Record 4
PrErTeO2 PBE optimized geometry; total DFT energy (no corrections) = -36.90 eV per formula unit; total magnetization = 0.00 Bohr magnetons per cell
1.0
0.2797 -6.1901 3.1112
-4.8735 -3.9194 2.9937
1.7968 3.7922 -5.5196
O Pr Er Te
2 1 1 1
Cartesian
-2.6591 -2.5300 0.2264
-0.0825 -3.6653 0.2851
-1.5805 -3.4781 2.1003
-3.0557 -6.7247 4.0608
-0.0131 -0.0289 0.0174

Record 5
Er2B2Cl2O5 PBE optimized geometry; total DFT energy (no corrections) = -82.21 eV per formula unit; total magnetization = 0.00 Bohr magnetons per cell
1.0
10.0184 0.0000 0.0000
0.0000 14.8145 0.0000
0.0000 0.0000 5.2123
B O Er Cl
8 20 8 8
Cartesian
2.4499 13.8500 0.0000
2.5593 6.4427 0.0000
8.0357 10.8533 0.0000
3.0265 11.3685 0.0000
7.5685 0.9645 0.0000
6.9918 3.4460 0.0000
7.4591 8.3718 0.0000
1.9827 3.9612 0.0000
1.3366 14.6403 0.0000
6.3458 7.5815 0.0000
0.6234 4.0871 0.0000
2.1227 12.4533 0.0000
6.2897 0.5356 0.0000
8.6817 0.1742 0.0000
7.5774 12.1367 0.0000
3.6726 7.2330 0.0000
7.4501 4.7294 0.0000
8.7378 7.9429 0.0000
2.5682 10.0851 0.0000
1.2805 6.8716 0.0000
5.6326 3.3201 0.0000
9.3949 10.7274 0.0000
7.1318 9.7685 0.0000
2.4409 2.6778 0.0000
3.7286 14.2789 0.0000
7.8957 2.3613 0.0000
2.8865 5.0460 0.0000
4.3857 11.4944 0.0000
9.7126 13.0223 0.0000
0.6962 9.0208 0.0000
4.7035 9.1995 0.0000
5.3149 5.6150 0.0000
0.3057 1.7922 0.0000
4.3130 1.6136 0.0000
9.3222 5.7937 0.0000
5.7054 13.2010 0.0000
5.0778 5.4632 2.6061
0.0686 1.9441 2.6061
9.1424 5.7763 2.6061
4.9405 9.3513 2.6061
4.1332 1.6309 2.6061
5.8851 13.1836 2.6061
0.8759 9.0382 2.6061
9.9497 12.8704 2.6061

Record 6
TbPaTc PBE optimized geometry; total magnetization = 0.00 Bohr magnetons per cell; energy of formation from the pure elements = 0.92 eV per atom
1.0
-4.4386 -0.9335 1.0543
-3.2991 3.1928 -0.7785
-3.1136 -0.6508 -3.4008
Tc Tb Pa
1 1 1
Cartesian
-2.7128 0.4021 -0.7813
0.0000 0.0000 0.0000
-8.1385 1.2063 -2.3438

Record 7
PaNi3 PBE optimized geometry; total magnetization = 0.00 Bohr magnetons per cell; energy of formation from the pure elements = -0.21 eV per atom
1.0
0.0000 3.0919 3.0919
3.0919 0.0000 3.0919
3.0919 3.0919 0.0000
Ni Pa
3 1
Cartesian
0.0000 0.0000 0.0000
1.5459 1.5459 1.5459
3.0919 3.0919 3.0919
4.6379 4.6379 4.6379

Record 8
PrInSi PBE optimized geometry; total DFT energy (no corrections) = -12.69 eV per formula unit; total magnetization = 0.00 Bohr magnetons per cell
1.0
-0.2665 -4.8297 1.4072
-4.0802 -2.7307 -1.1279
0.2898 -3.6509 -3.4589
In Si Pr
1 1 1
Cartesian
-1.0142 -2.8028 -0.7949
-3.0427 -8.4085 -2.3847
0.0000 0.0000 0.0000

Record 9
PrCdO3 PBE optimized geometry; total DFT energy (no corrections) = -29.69 eV per formula unit; total magnetization = 2.00 Bohr magnetons per cell
1.0
1.6802 -5.5745 -0.9666
-3.9128 -3.9659 -1.9478
0.4351 -1.9958 -5.7521
O Cd Pr
6 2 2
Cartesian
-1.4010 -3.4401 -5.2267
1.5185 -5.8955 -5.1148
0.1284 -4.4591 -2.4093
-0.3964 -8.0961 -3.4398
-3.3159 -5.6407 -3.5517
-1.9258 -7.0771 -6.2572
-0.0796 -2.5127 -3.6653
-1.7178 -9.0235 -5.0011
-0.4313 -5.2986 -6.2281
-1.3662 -6.2376 -2.4383

Record 10
Hf2Fe4I PBE optimized geometry; total DFT energy (no corrections) = -51.40 eV per formula unit; total magnetization = 7.73 Bohr magnetons per cell
1.0
-2.5195 -0.8297 4.6624
-2.8143 3.1173 -3.3370
0.6905 -4.7603 -2.3742
Hf Fe I
2 4 1
Cartesian
-2.3953 -0.2495 -2.5243
-2.2479 -2.2231 1.4754
-2.7213 1.8725 -0.8141
-1.2466 -2.2812 -1.0796
-3.3966 -0.1914 0.0307
-2.6125 0.4152 2.1394
0.0000 0.0000 0.0000

Record 11
InAgSnS3 PBE optimized geometry; total DFT energy (no corrections) = -24.25 eV per formula unit
1.0
1.9116 -7.2272 0.0000
1.9116 7.2272 0.0000
0.0000 0.0000 10.3873
Ag Sn In S
2 2 2 6
Cartesian
1.9116 2.3298 7.7905
1.9116 -2.3298 2.5968
1.9116 -2.5300 7.7905
1.9116 2.5300 2.5968
0.0000 0.0000 0.0000
0.0000 0.0000 5.1936
1.9115 6.5009 7.7905
1.9115 1.7867 10.1603
1.9115 -6.5009 2.5968
1.9115 1.7867 5.4206
1.9115 -1.7867 4.9667
1.9115 -1.7867 0.2270

Record 12
TmPtPbSe3 PBE optimized geometry; total DFT energy (no corrections) = -30.19 eV per formula unit; total magnetization = 0.01 Bohr magnetons per cell
1.0
1.9334 -7.2402 0.0000
1.9334 7.2402 0.0000
0.0000 0.0000 10.5392
Se Pb Tm Pt
6 2 2 2
Cartesian
1.9334 -1.0989 2.6348
1.9334 -5.2000 0.4743
1.9334 5.2000 5.7440
1.9334 5.2000 10.0649
1.9334 1.0989 7.9044
1.9334 -5.2000 4.7953
1.9334 3.0288 2.6348
1.9334 -3.0288 7.9044
1.9334 0.0000 0.0000
1.9334 0.0000 5.2696
1.9334 6.6834 7.9044
1.9334 -6.6834 2.6348

These records have density values of 8.72; 12.09; 6.95; 7.73; 4.35; 11.35; 11.44; 5.21; 6.55; 9.91; 5.06; 9.10 Mg/m³, in the order they appear.